The following is a GGA-PBE calculation of a relaxed structure of CdAg2SnTe4, from Alexandria.

It has space group Fmm2 (No. 42), with a = 9.221 Å, b = 9.222 Å, c = 13.088 Å, α = 90.00°, β = 90.00° and γ = 90.00°. The asymmetric unit holds Cd at (0.000, 0.000, 0.000), Ag at (0.250, 0.250, 0.250), Sn at (0.000, 0.000, 0.500), Te at (0.000, 0.246, 0.630) and Te at (0.246, 0.000, 0.371).

The calculation puts the final energy at -3.12 eV/atom.

***

The following is a GGA-PBE calculation of a relaxed structure of CeDyHg4, from Alexandria.

It has space group Pm (No. 6), with a = 3.967 Å, b = 5.418 Å, c = 7.571 Å, α = 90.00°, β = 104.01° and γ = 90.00°. The asymmetric unit holds Ce at (0.000, 0.000, 0.000), Dy at (0.004, 0.500, 0.498), Hg at (0.339, 0.000, 0.658), Hg at (0.367, 0.500, 0.167), Hg at (0.640, 0.500, 0.828) and Hg at (0.662, 0.000, 0.342).

The value obtained for the energy of formation from the pure elements is -0.322 eV per atom. The energy above the lowest structure with this stoichiometry is 0.036 eV per atom.

***

The following is a GGA-PBE calculation of a relaxed structure of MgZrRu3, from Alexandria.

It has space group Pm-3m (No. 221), with a = 4.455 Å, b = 4.455 Å, c = 4.455 Å, α = 90.00°, β = 90.00° and γ = 90.00°. The asymmetric unit holds Mg at (0.000, 0.000, 0.000), Zr at (0.500, 0.500, 0.500) and Ru at (0.000, 0.000, 0.500).

The value obtained for the energy of formation from the pure elements is 1.023 eV per atom. The energy above the lowest structure with this stoichiometry is 0.000 eV per atom.

***

The following is a GGA-PBE calculation of a relaxed structure of Na3Ho3TeS8, from Alexandria.

It has space group R-3m (No. 166, hexagonal axes), with a = 7.9053 Å, b = 7.9053 Å, c = 20.1740 Å, α = 90.00°, β = 90.00° and γ = 120.00°. The asymmetric unit holds Na at (0.0000, 0.5000, 0.0000), Ho at (0.0000, 0.5000, 0.5000), Te at (0.0000, 0.0000, 0.5000), S at (0.0000, 0.0000, 0.2413) and S at (0.0073, 0.5036, 0.2403).

The calculation puts the final energy at -5.06 eV/atom.

***

Spin magnetization across the listed records, respectively: 0.000; 0.971; 0.000; 0.000 μB/f.u..
DOS(E_F) across the listed records, respectively: 0.9; 8.2; 6.2; 0.0 states/eV/f.u..